Record 1
## Tl2CdNi2 (meta-GGA SCAN)

Data for a crystal of Tl2CdNi2 relaxed with PBEsol.

```
data_Tl2CdNi2
_space_group_name_H-M_alt 'I 4/m m m'
_space_group_IT_number 139
_space_group_name_Hall '-I 4 2'
_cell_length_a 4.170
_cell_length_b 4.170
_cell_length_c 11.152
_cell_angle_alpha 90.00
_cell_angle_beta 90.00
_cell_angle_gamma 90.00
loop_
_atom_site_label
_atom_site_type_symbol
_atom_site_fract_x
_atom_site_fract_y
_atom_site_fract_z
Tl1 Tl 0.000 0.500 0.250
Cd1 Cd 0.000 0.000 0.000
Ni1 Ni 0.000 0.000 0.399
```

Computed properties:
E_form, eV per atom: 0.518

Record 2
## NbZnMo3 (meta-GGA SCAN)

Data for a crystal of NbZnMo3 relaxed with PBEsol.

```
data_NbZnMo3
_space_group_name_H-M_alt 'P m -3 m'
_space_group_IT_number 221
_space_group_name_Hall '-P 4 2 3'
_cell_length_a 4.485
_cell_length_b 4.485
_cell_length_c 4.485
_cell_angle_alpha 90.00
_cell_angle_beta 90.00
_cell_angle_gamma 90.00
loop_
_atom_site_label
_atom_site_type_symbol
_atom_site_fract_x
_atom_site_fract_y
_atom_site_fract_z
Nb1 Nb 0.000 0.000 0.000
Zn1 Zn 0.500 0.500 0.500
Mo1 Mo 0.000 0.500 0.500
```

Computed properties:
E_form, eV per atom: 1.587

Record 3
## Ba2Ca7I18 (meta-GGA SCAN)

Data for a crystal of Ba2Ca7I18 relaxed with PBEsol.

```
data_Ba2Ca7I18
_space_group_name_H-M_alt 'P -1'
_space_group_IT_number 2
_space_group_name_Hall '-P 1'
_cell_length_a 10.098
_cell_length_b 10.839
_cell_length_c 11.358
_cell_angle_alpha 95.02
_cell_angle_beta 116.01
_cell_angle_gamma 95.78
loop_
_atom_site_label
_atom_site_type_symbol
_atom_site_fract_x
_atom_site_fract_y
_atom_site_fract_z
Ba1 Ba 0.194 0.369 0.228
Ca1 Ca 0.094 0.107 0.700
Ca2 Ca 0.290 0.779 0.609
Ca3 Ca 0.297 0.815 0.122
Ca4 Ca 0.500 0.500 0.000
I1 I 0.021 0.170 0.931
I2 I 0.029 0.344 0.577
I3 I 0.150 0.846 0.807
I4 I 0.182 0.536 0.971
I5 I 0.219 0.031 0.504
I6 I 0.352 0.688 0.371
I7 I 0.380 0.094 0.243
I8 I 0.419 0.213 0.908
I9 I 0.434 0.551 0.720
```

Computed properties:
Formation energy without anion corrections, eV/atom: -1.756

Record 4
## AgCSe2 (meta-GGA SCAN)

Data for a crystal of AgCSe2 relaxed with PBEsol.

```
data_AgCSe2
_space_group_name_H-M_alt 'I -4 2 d'
_space_group_IT_number 122
_space_group_name_Hall 'I -4 2bw'
_cell_length_a 5.469
_cell_length_b 5.469
_cell_length_c 10.395
_cell_angle_alpha 90.00
_cell_angle_beta 90.00
_cell_angle_gamma 90.00
loop_
_atom_site_label
_atom_site_type_symbol
_atom_site_fract_x
_atom_site_fract_y
_atom_site_fract_z
Ag1 Ag 0.000 0.000 0.000
C1 C 0.000 0.000 0.500
Se1 Se 0.173 0.250 0.625
```

Computed properties:
Formation energy without anion corrections, eV/atom: 0.867

Record 5
## GaNiI2O (meta-GGA SCAN)

Data for a crystal of GaNiI2O relaxed with PBEsol.

```
data_GaNiI2O
_space_group_name_H-M_alt 'P 4/m m m'
_space_group_IT_number 123
_space_group_name_Hall '-P 4 2'
_cell_length_a 5.463
_cell_length_b 5.463
_cell_length_c 3.584
_cell_angle_alpha 90.00
_cell_angle_beta 90.00
_cell_angle_gamma 90.00
loop_
_atom_site_label
_atom_site_type_symbol
_atom_site_fract_x
_atom_site_fract_y
_atom_site_fract_z
Ga1 Ga 0.000 0.000 0.000
Ni1 Ni 0.500 0.500 0.500
I1 I 0.000 0.500 0.500
O1 O 0.500 0.500 0.000
```

Computed properties:
Formation energy without anion corrections, eV/atom: -0.160

Record 6
## Cs3AsO4 (meta-GGA SCAN)

Data for a crystal of Cs3AsO4 relaxed with PBEsol.

```
data_Cs3AsO4
_space_group_name_H-M_alt 'P n m a'
_space_group_IT_number 62
_space_group_name_Hall '-P 2ac 2n'
_cell_length_a 12.429
_cell_length_b 8.973
_cell_length_c 6.587
_cell_angle_alpha 90.00
_cell_angle_beta 90.00
_cell_angle_gamma 90.00
loop_
_atom_site_label
_atom_site_type_symbol
_atom_site_fract_x
_atom_site_fract_y
_atom_site_fract_z
Cs1 Cs 0.074 0.250 0.141
Cs2 Cs 0.146 0.007 0.691
As1 As 0.113 0.750 0.275
O1 O 0.006 0.750 0.442
O2 O 0.108 0.592 0.126
O3 O 0.231 0.750 0.415
```

Computed properties:
Formation energy without anion corrections, eV/atom: -1.870

Record 7
## CoSnSe2 (meta-GGA SCAN)

Data for a crystal of CoSnSe2 relaxed with PBEsol.

```
data_CoSnSe2
_space_group_name_H-M_alt 'R -3 m'
_space_group_IT_number 166
_space_group_name_Hall '-R 3 2"'
_cell_length_a 3.9592
_cell_length_b 3.9592
_cell_length_c 22.7936
_cell_angle_alpha 90.00
_cell_angle_beta 90.00
_cell_angle_gamma 120.00
loop_
_atom_site_label
_atom_site_type_symbol
_atom_site_fract_x
_atom_site_fract_y
_atom_site_fract_z
Co1 Co 0.0000 0.0000 0.0000
Sn1 Sn 0.0000 0.0000 0.5000
Se1 Se 0.0000 0.0000 0.0969
```

Computed properties:
Formation energy without anion corrections, eV/atom: 0.114

Record 8
## Zr2NiS4 (meta-GGA SCAN)

Data for a crystal of Zr2NiS4 relaxed with PBEsol.

```
data_Zr2NiS4
_space_group_name_H-M_alt 'C 1 m 1'
_space_group_IT_number 8
_space_group_name_Hall 'C -2y'
_cell_length_a 13.064
_cell_length_b 3.634
_cell_length_c 6.211
_cell_angle_alpha 90.00
_cell_angle_beta 118.24
_cell_angle_gamma 90.00
loop_
_atom_site_label
_atom_site_type_symbol
_atom_site_fract_x
_atom_site_fract_y
_atom_site_fract_z
Zr1 Zr 0.000 0.000 0.000
Zr2 Zr 0.005 0.500 0.494
Ni1 Ni 0.327 0.000 0.989
S1 S 0.132 0.500 0.290
S2 S 0.133 0.000 0.791
S3 S 0.370 0.500 0.205
S4 S 0.374 0.000 0.694
```

Computed properties:
Formation energy without anion corrections, eV/atom: -1.550

Record 9
## Be2Nb3 (meta-GGA SCAN)

Data for a crystal of Be2Nb3 relaxed with PBEsol.

```
data_Be2Nb3
_space_group_name_H-M_alt 'P 4/m b m'
_space_group_IT_number 127
_space_group_name_Hall '-P 4 2ab'
_cell_length_a 6.470
_cell_length_b 6.470
_cell_length_c 3.340
_cell_angle_alpha 90.00
_cell_angle_beta 90.00
_cell_angle_gamma 90.00
loop_
_atom_site_label
_atom_site_type_symbol
_atom_site_fract_x
_atom_site_fract_y
_atom_site_fract_z
Be1 Be 0.114 0.386 0.000
Nb1 Nb 0.000 0.000 0.000
Nb2 Nb 0.179 0.679 0.500
```

Computed properties:
E_form, eV per atom: -0.144

Record 10
## SrY2Si (meta-GGA SCAN)

Data for a crystal of SrY2Si relaxed with PBEsol.

```
data_SrY2Si
_space_group_name_H-M_alt 'P 4/m m m'
_space_group_IT_number 123
_space_group_name_Hall '-P 4 2'
_cell_length_a 3.496
_cell_length_b 3.496
_cell_length_c 9.737
_cell_angle_alpha 90.00
_cell_angle_beta 90.00
_cell_angle_gamma 90.00
loop_
_atom_site_label
_atom_site_type_symbol
_atom_site_fract_x
_atom_site_fract_y
_atom_site_fract_z
Sr1 Sr 0.000 0.000 0.000
Y1 Y 0.500 0.500 0.327
Si1 Si 0.000 0.000 0.500
```

Computed properties:
Formation energy without anion corrections, eV/atom: -0.199

Record 11
## Hf3Si2 (meta-GGA SCAN)

Data for a crystal of Hf3Si2 relaxed with PBEsol.

```
data_Hf3Si2
_space_group_name_H-M_alt 'P 4/m b m'
_space_group_IT_number 127
_space_group_name_Hall '-P 4 2ab'
_cell_length_a 6.975
_cell_length_b 6.975
_cell_length_c 3.603
_cell_angle_alpha 90.00
_cell_angle_beta 90.00
_cell_angle_gamma 90.00
loop_
_atom_site_label
_atom_site_type_symbol
_atom_site_fract_x
_atom_site_fract_y
_atom_site_fract_z
Hf1 Hf 0.000 0.000 0.000
Hf2 Hf 0.174 0.326 0.500
Si1 Si 0.124 0.624 0.000
```

Computed properties:
Formation energy without anion corrections, eV/atom: -0.796

Record 12
## RuSeI2N (meta-GGA SCAN)

Data for a crystal of RuSeI2N relaxed with PBEsol.

```
data_RuSeI2N
_space_group_name_H-M_alt 'P 4/m m m'
_space_group_IT_number 123
_space_group_name_Hall '-P 4 2'
_cell_length_a 5.441
_cell_length_b 5.441
_cell_length_c 3.659
_cell_angle_alpha 90.00
_cell_angle_beta 90.00
_cell_angle_gamma 90.00
loop_
_atom_site_label
_atom_site_type_symbol
_atom_site_fract_x
_atom_site_fract_y
_atom_site_fract_z
Ru1 Ru 0.000 0.000 0.000
Se1 Se 0.500 0.500 0.500
I1 I 0.000 0.500 0.000
N1 N 0.000 0.000 0.500
```

Computed properties:
Formation energy without anion corrections, eV/atom: 0.607

| no. | DOS(E_F) (states/eV/f.u.) | calculated volume (Å³/cell) |
| --- | --- | --- |
| 1 | 3.338 | 193.9 |
| 2 | 6.259 | 90.2 |
| 3 | 0.000 | 1099.5 |
| 4 | 1.440 | 310.9 |
| 5 | 3.173 | 106.9 |
| 6 | 0.000 | 734.7 |
| 7 | 2.537 | 309.4 |
| 8 | 0.120 | 259.8 |
| 9 | 5.013 | 139.8 |
| 10 | 2.395 | 119.0 |
| 11 | 3.716 | 175.3 |
| 12 | 3.258 | 108.3 |